Computed, not measured: La12Pr6Y after structural relaxation at the GGA-PBE level of DFT.

## Properties
ΔH_f (0 K) = 0.105 eV per atom

Lattice parameters (Å, degrees): 13.6979 13.6979 13.1346 90.00 90.00 120.00
With the nearest neighbours (Å) after each atom.
Space group R-3m (No. 166, hexagonal axes)
Asymmetric unit:
1 La 0.0000 0.2622 0.0000 x18  4 Pr 3.50-3.65, 6 La 3.59-3.74, 1 Y 3.59
2 La 0.0556 0.5278 0.1115 x18  1 La 3.21
3 Pr 0.0890 0.1780 0.7699 x18  4 La 3.50-3.65, 2 Pr 3.66, 1 Y 3.69
4 Y 0.0000 0.0000 0.0000 x3  6 La 3.59, 6 Pr 3.69